DFT (PBE with a Hubbard U) results for a relaxed structure of RbPmVF6. Values from VASP.

Geometry as Quantum ESPRESSO input:
```
&SYSTEM
  ibrav = 0, nat = 18, ntyp = 4
/
ATOMIC_SPECIES
F 19.00 F.upf
Rb 85.47 Rb.upf
V 50.94 V.upf
Pm 145.00 Pm.upf
CELL_PARAMETERS angstrom
-5.177 1.433 6.498
-6.285 -0.492 -4.898
5.410 -6.031 0.170
ATOMIC_POSITIONS angstrom
F -6.928 -0.792 2.039
F -5.116 -1.294 -0.235
F -2.675 -4.577 -3.036
F -1.564 -1.015 2.533
F 0.876 -4.299 -0.268
F -4.487 -4.075 -0.762
F -1.862 -5.164 -0.344
F -4.822 -2.252 -3.345
F -1.229 -2.838 5.116
F -4.189 0.074 2.116
F -0.936 -3.797 2.006
F -3.376 -0.514 4.807
Rb -1.708 -2.503 -0.809
Rb -4.343 -2.588 2.580
V -5.731 0.470 0.800
V -2.588 0.717 3.249
Pm 2.705 -3.016 0.085
Pm 0.116 -2.299 3.334
```

SG = Imma (74)
Magnetic moment = 3.00 μB/f.u.
Volume = 380.5 Å³ per cell
Raw total energy = -5.996 eV per atom